1.
Material: Cd2InSb
Method: DFT, PBE
State: relaxed

Geometry as POSCAR:
```
Cd2InSb
1.0
4.6611 0.0000 0.0000
2.3305 4.0366 0.0000
2.3305 1.3455 6.0501
In Cd Sb
1 2 1
Direct
0.4950 0.4950 0.5151 In
0.2556 0.2556 0.2333 Cd
0.0814 0.0814 0.7558 Cd
0.6681 0.6681 0.9958 Sb
```

Its crystal system is trigonal. As for the formation energy from raw total energies: 0.0374 eV/atom. As for the space group: R3m (160). The uncorrected energy is -2.135 eV per atom.

=====

2.
Material: TiGeI2N
Method: DFT, PBE
State: relaxed

Geometry as POSCAR:
```
TiGeI2N
1.0
-0.5807 -4.6933 -3.2118
5.6871 -0.4764 -0.3322
0.0033 -2.1319 3.1146
N I Ge Ti
1 2 1 1
Direct
0.0000 0.0000 0.5000 N
0.0000 0.5000 0.0000 I
0.5000 0.0000 0.0000 I
0.5000 0.5000 0.5000 Ge
0.0000 0.0000 0.0000 Ti
```

Its crystal system is tetragonal. As for the formation energy from raw total energies: 0.0708 eV/atom. As for the space group: P4/mmm (123). The uncorrected energy is -4.717 eV per atom.

=====

3.
Material: MnAsIr2
Method: DFT, PBE
State: relaxed

Geometry as POSCAR:
```
MnAsIr2
1.0
-0.9962 -0.1832 5.1655
4.4734 -2.2020 -1.6875
2.0625 1.4824 1.2094
As Ir Mn
1 2 1
Direct
0.0000 0.5000 0.5000 As
0.0000 0.0000 0.0000 Ir
0.5000 0.5000 0.0000 Ir
0.5000 0.0000 0.5000 Mn
```

Its crystal system is monoclinic. As for the space group: C2/m (12). The uncorrected energy is -7.775 eV per atom.

=====

4.
Material: BaAs2RhO6
Method: DFT, PBE
State: relaxed

Geometry as POSCAR:
```
BaAs2RhO6
1.0
-1.7525 -4.0055 -3.0864
3.3239 -2.3552 -3.4707
2.2218 -6.3035 2.2792
O Ba Rh As
6 1 1 2
Direct
0.5225 0.2722 0.3146 O
0.4775 0.7278 0.6854 O
0.2722 0.8907 0.3146 O
0.7278 0.1093 0.6854 O
0.8907 0.5225 0.3146 O
0.1093 0.4775 0.6854 O
0.0000 0.0000 0.0000 Ba
0.5000 0.5000 0.5000 Rh
0.7423 0.7423 0.7731 As
0.2577 0.2577 0.2269 As
```

Its crystal system is trigonal. As for the formation energy from raw total energies: -1.2690 eV/atom. As for the space group: R-3 (148). The uncorrected energy is -6.101 eV per atom.

=====

5.
Material: Sr2CaCu
Method: DFT, PBE
State: relaxed

Geometry as POSCAR:
```
Sr2CaCu
1.0
-5.9187 -6.2745 -3.3201
4.1728 -0.7936 3.7837
-2.9520 -2.0381 2.8307
Sr Cu Ca
2 1 1
Direct
0.5000 0.0000 0.5000 Sr
0.0000 0.0000 0.0000 Sr
0.5000 0.5000 0.0000 Cu
0.0000 0.5000 0.5000 Ca
```

Its crystal system is orthorhombic. As for the space group: Cmmm (65). The uncorrected energy is -2.162 eV per atom.

=====

6.
Material: KGa2IrO6
Method: DFT, PBE
State: relaxed

Geometry as POSCAR:
```
KGa2IrO6
1.0
-3.7788 3.4067 3.9308
-0.0790 -3.8665 5.9557
4.2907 5.1511 2.3413
O K Ga Ir
12 2 4 2
Direct
0.0573 0.6608 0.5620 O
0.5573 0.5620 0.6608 O
0.9427 0.3392 0.4380 O
0.0500 0.6409 0.1449 O
0.4427 0.4380 0.3392 O
0.5500 0.1449 0.6409 O
0.9500 0.3591 0.8551 O
0.1856 0.9689 0.7231 O
0.4500 0.8551 0.3591 O
0.6856 0.7231 0.9689 O
0.8144 0.0311 0.2769 O
0.3144 0.2769 0.0311 O
0.7500 0.0933 0.9067 K
0.2500 0.9067 0.0933 K
0.3457 0.7014 0.5457 Ga
0.1543 0.4543 0.2986 Ga
0.8457 0.5457 0.7014 Ga
0.6543 0.2986 0.4543 Ga
0.2500 0.2058 0.7942 Ir
0.7500 0.7942 0.2058 Ir
```

Its crystal system is monoclinic. As for the formation energy from raw total energies: -1.1640 eV/atom. As for the space group: C2/c (15). The uncorrected energy is -5.740 eV per atom.

=====

7.
Material: BaLa2YNi
Method: DFT, PBE
State: relaxed

Geometry as POSCAR:
```
BaLa2YNi
1.0
-0.4182 2.1984 5.1692
-5.4754 -1.3172 0.1172
1.2706 -5.0801 2.2633
Y La Ba Ni
1 2 1 1
Direct
0.0000 0.0000 0.5000 Y
0.5000 0.0000 0.0000 La
0.0000 0.5000 0.0000 La
0.5000 0.5000 0.5000 Ba
0.0000 0.0000 0.0000 Ni
```

Its crystal system is tetragonal. As for the space group: P4/mmm (123). The uncorrected energy is -4.829 eV per atom.

=====

8.
Material: MgSi2Ag
Method: DFT, PBE
State: relaxed

Geometry as POSCAR:
```
MgSi2Ag
1.0
-6.0401 -1.4081 -0.8182
-5.5111 -2.3422 1.8104
-2.6865 3.2324 1.6893
Si Mg Ag
2 1 1
Direct
0.7086 0.7086 0.7923 Si
0.0216 0.0216 0.9775 Si
0.2859 0.2859 0.2150 Mg
0.4839 0.4839 0.5152 Ag
```

Its crystal system is monoclinic. As for the formation energy from raw total energies: 0.1837 eV/atom. As for the space group: Cm (8). The uncorrected energy is -3.639 eV per atom.

=====

9.
Material: KGaOs
Method: DFT, PBE
State: relaxed

Geometry as POSCAR:
```
KGaOs
1.0
4.3563 0.0000 0.0000
0.0000 12.2447 0.0000
0.0000 0.0000 5.2205
Os Ga K
4 4 4
Direct
0.0000 0.0012 0.8583 Os
0.0000 0.9988 0.3583 Os
0.5000 0.4988 0.3583 Os
0.5000 0.5012 0.8583 Os
0.0000 0.4664 0.6080 Ga
0.5000 0.0336 0.1080 Ga
0.5000 0.9664 0.6080 Ga
0.0000 0.5336 0.1080 Ga
0.5000 0.2271 0.6092 K
0.5000 0.7729 0.1092 K
0.0000 0.2729 0.1092 K
0.0000 0.7271 0.6092 K
```

Its crystal system is orthorhombic. As for the space group: Cmc2_1 (36). The uncorrected energy is -4.845 eV per atom.

=====

10.
Material: Tm3Ge3Ir
Method: DFT, PBE
State: relaxed

Geometry as POSCAR:
```
Tm3Ge3Ir
1.0
4.1934 0.0000 0.6317
2.0658 5.2291 0.5210
0.1519 0.0847 13.2261
Ge Tm Ir
6 6 2
Direct
0.0282 0.1739 0.7696 Ge
0.8797 0.1669 0.0738 Ge
0.9718 0.8261 0.2304 Ge
0.8626 0.7378 0.5370 Ge
0.1203 0.8331 0.9262 Ge
0.1374 0.2622 0.4630 Ge
0.6024 0.7181 0.0771 Tm
0.5283 0.3219 0.6216 Tm
0.3976 0.2819 0.9229 Tm
0.7415 0.7501 0.7669 Tm
0.4717 0.6781 0.3784 Tm
0.2585 0.2499 0.2331 Tm
0.2484 0.8906 0.6126 Ir
0.7516 0.1094 0.3874 Ir
```

Its crystal system is monoclinic. As for the space group: C2/m (12). The uncorrected energy is -6.050 eV per atom.

=====

11.
Material: Ce2Co2Ge3
Method: DFT, PBE
State: relaxed

Geometry as POSCAR:
```
Ce2Co2Ge3
1.0
4.0897 0.0000 0.0000
-2.0449 5.0486 -0.2369
0.0000 -2.6350 6.1133
Ge Ce Co
3 2 2
Direct
0.5000 0.0000 0.0000 Ge
0.6293 0.2586 0.4473 Ge
0.3707 0.7414 0.5527 Ge
0.1481 0.2962 0.7907 Ce
0.8519 0.7038 0.2093 Ce
0.8721 0.7442 0.7767 Co
0.1279 0.2558 0.2233 Co
```

Its crystal system is monoclinic. As for the space group: C2/m (12). The uncorrected energy is -6.204 eV per atom.

=====

12.
Material: CsK14Pd
Method: DFT, PBE
State: relaxed

Geometry as POSCAR:
```
CsK14Pd
1.0
-6.1192 -1.1400 -7.5513
5.0009 -8.3616 -0.9180
-7.6469 -5.3423 7.0032
K Pd Cs
14 1 1
Direct
0.7946 0.5432 0.3170 K
0.6146 0.8765 0.0000 K
0.1171 0.8829 0.0000 K
0.4568 0.2054 0.3170 K
0.3561 0.6439 0.7393 K
0.7946 0.5432 0.6830 K
0.1235 0.3854 0.0000 K
0.0919 0.3666 0.5000 K
0.6334 0.9081 0.5000 K
0.8683 0.1317 0.7510 K
0.8683 0.1317 0.2490 K
0.3561 0.6439 0.2607 K
0.6108 0.3892 0.0000 K
0.4568 0.2054 0.6830 K
0.7515 0.2485 0.5000 Pd
0.1056 0.8944 0.5000 Cs
```

Its crystal system is orthorhombic. As for the space group: Amm2 (38). The uncorrected energy is -1.295 eV per atom.